Entry 1:
Tc2AsIrPt: optimized geometry, PBE.

a = 4.517 Å, b = 4.522 Å, c = 4.517 Å
α = 90.00°, β = 90.00°, γ = 90.00°
Last column: magnetic moment on the atom in μB.
Positions (direct):
Ir 0.500 0.500 0.500  0.37
Pt 0.000 0.500 0.000  0.17
As 0.000 0.000 0.000  -0.03
Tc 0.000 0.000 0.500  0.94
Tc 0.500 0.000 0.000  0.69

Calculated values
Its crystal system is tetragonal. The symmetry is P4/mmm (123). The raw total energy comes out at -6.731 eV/atom. The value obtained for the density of states at the Fermi level is 8.0 states/eV/cell. As for the total magnetic moment: 2.2 μB/f.u.

Entry 2:
TcAs2IrPt: optimized geometry, PBE.

a = 4.746 Å, b = 4.987 Å, c = 4.746 Å
α = 90.00°, β = 90.00°, γ = 90.00°
Last column: magnetic moment on the atom in μB.
Positions (direct):
Tc 0.500 0.500 0.500  3.32
Ir 0.000 0.500 0.000  1.04
Pt 0.000 0.000 0.000  0.10
As 0.500 0.000 0.000  -0.13
As 0.000 0.000 0.500  -0.07

Calculated values
Its crystal system is tetragonal. The symmetry is P4/mmm (123). The raw total energy comes out at -5.414 eV/atom. The value obtained for the density of states at the Fermi level is 4.9 states/eV/cell. As for the total magnetic moment: 4.6 μB/f.u.

Entry 3:
Te2AsIrPt: optimized geometry, PBE.

a = 5.242 Å, b = 4.860 Å, c = 5.242 Å
α = 90.00°, β = 90.00°, γ = 90.00°
Positions (direct):
Te 0.000 0.000 0.500
As 0.500 0.500 0.500
Ir 0.000 0.500 0.000
Te 0.500 0.000 0.000
Pt 0.000 0.000 0.000

Calculated values
Its crystal system is tetragonal. The formation energy without anion corrections comes out at 1.097 eV per atom. The symmetry is P4/mmm (123). The raw total energy comes out at -4.070 eV/atom. The value obtained for the density of states at the Fermi level is 3.4 states/eV/cell. As for the total magnetic moment: 0.0 μB/f.u.

Entry 4:
PuAsIr: optimized geometry, PBE.

a = 4.163 Å, b = 4.294 Å, c = 11.622 Å
α = 90.00°, β = 90.00°, γ = 119.00°
Last column: magnetic moment on the atom in μB.
Positions (direct):
Ir 0.152 0.303 0.823  -0.29
As 0.826 0.652 0.158  -0.07
Pu 0.499 0.998 0.000  5.00
As 0.167 0.334 0.500  -0.09
Pu 0.495 0.990 0.333  4.94
Pu 0.495 0.990 0.667  4.94
Ir 0.152 0.303 0.177  -0.29
As 0.826 0.652 0.842  -0.07
Ir 0.841 0.683 0.500  -0.31

Calculated values
Its crystal system is orthorhombic. The symmetry is Amm2 (38). The raw total energy comes out at -9.960 eV/atom. The value obtained for the density of states at the Fermi level is 32.1 states/eV/cell. As for the total magnetic moment: 4.7 μB/f.u.

Entry 5:
PuAs2Ir2: optimized geometry, PBE.

a = 4.230 Å, b = 4.230 Å, c = 10.239 Å
α = 90.00°, β = 90.00°, γ = 90.00°
Last column: magnetic moment on the atom in μB.
Positions (direct):
Ir 0.000 0.500 0.374  -0.12
Ir 0.000 0.000 0.000  -0.01
As 0.000 0.000 0.500  -0.01
Ir 0.500 0.500 0.000  -0.01
Ir 0.500 0.000 0.626  -0.12
Pu 0.000 0.500 0.748  5.15
As 0.000 0.500 0.138  -0.02
As 0.500 0.500 0.500  -0.01
As 0.500 0.000 0.862  -0.02
Pu 0.500 0.000 0.252  5.15

Calculated values
Its crystal system is tetragonal. The symmetry is P4/nmm (129). The raw total energy comes out at -8.796 eV/atom. The value obtained for the density of states at the Fermi level is 29.0 states/eV/cell. As for the total magnetic moment: 5.2 μB/f.u.

Entry 6:
Pu8AsIr5: optimized geometry, PBE.

a = 7.410 Å, b = 7.410 Å, c = 7.410 Å
α = 109.09°, β = 110.25°, γ = 109.09°
Last column: magnetic moment on the atom in μB.
Positions (direct):
Pu 0.490 0.616 0.241  5.12
Pu 0.126 0.751 0.510  5.12
Pu 0.262 0.245 0.367  5.14
Ir 0.500 0.000 0.500  -0.32
Ir 0.372 0.123 0.995  -0.32
Pu 0.625 0.384 0.874  5.12
As 0.250 0.500 0.750  -0.12
Ir 0.750 0.623 0.628  -0.32
Pu 0.759 0.249 0.375  5.12
Pu 0.121 0.755 0.017  5.14
Pu 0.633 0.896 0.879  5.14
Pu 0.983 0.104 0.738  5.14
Ir 0.873 0.877 0.250  -0.32
Ir 0.005 0.377 0.127  -0.32

Calculated values
Its crystal system is tetragonal. The symmetry is I-4 (82). The raw total energy comes out at -12.193 eV/atom. The value obtained for the density of states at the Fermi level is 53.0 states/eV/cell. As for the total magnetic moment: 41.3 μB/f.u.

What did the first record say?
Tc2AsIrPt: optimized geometry, PBE.

a = 4.517 Å, b = 4.522 Å, c = 4.517 Å
α = 90.00°, β = 90.00°, γ = 90.00°
Last column: magnetic moment on the atom in μB.
Positions (direct):
Ir 0.500 0.500 0.500  0.37
Pt 0.000 0.500 0.000  0.17
As 0.000 0.000 0.000  -0.03
Tc 0.000 0.000 0.500  0.94
Tc 0.500 0.000 0.000  0.69

Calculated values
Its crystal system is tetragonal. The symmetry is P4/mmm (123). The raw total energy comes out at -6.731 eV/atom. The value obtained for the density of states at the Fermi level is 8.0 states/eV/cell. As for the total magnetic moment: 2.2 μB/f.u.

The highest raw total energy belongs to which entry?
Te2AsIrPt

The highest total magnetic moment belongs to which entry?
Pu8AsIr5

The lowest raw total energy belongs to which entry?
Pu8AsIr5